[1]
This record from Alexandria via LeMat-Bulk describes a relaxed Ca2ReTe crystal. The functional is PBE-GGA.

Results
SG	I4/mmm (139)
uncorrected formation energy	0.298	eV/atom

Lattice parameters (Å, degrees): 5.4458 5.4458 5.4458 129.68 129.68 73.91
Fractional coordinates of all 4 atoms:
Ca 0.2500 0.7500 0.5000
Ca 0.7500 0.2500 0.5000
Re 0.0000 0.0000 0.0000
Te 0.5000 0.5000 0.0000

---

[2]
This record from Alexandria via LeMat-Bulk describes a relaxed Cs2NaTeI6 crystal. The functional is PBE-GGA.

Results
SG	R-3m (166)
uncorrected formation energy	-0.850	eV/atom

Lattice parameters (Å, degrees): 15.7718 15.7718 15.7718 31.45 31.45 31.45
Fractional coordinates of all 20 atoms:
Cs 0.1259 0.1259 0.1259
Cs 0.2989 0.2989 0.2989
Cs 0.7011 0.7011 0.7011
Cs 0.8741 0.8741 0.8741
Na 0.4201 0.4201 0.4201
Na 0.5799 0.5799 0.5799
Te 0.0000 0.0000 0.0000
Te 0.5000 0.5000 0.5000
I 0.1115 0.6370 0.6370
I 0.2105 0.2105 0.6945
I 0.2105 0.6945 0.2105
I 0.3055 0.7895 0.7895
I 0.3630 0.3630 0.8885
I 0.3630 0.8885 0.3630
I 0.6370 0.1115 0.6370
I 0.6370 0.6370 0.1115
I 0.6945 0.2105 0.2105
I 0.7895 0.3055 0.7895
I 0.7895 0.7895 0.3055
I 0.8885 0.3630 0.3630

---

[3]
This record from Alexandria via LeMat-Bulk describes a relaxed Np2Ge5Rh3 crystal. The functional is PBE-GGA.

Results
SG	Cmc2_1 (36)
polymorph energy (0 for the lowest one)	0.003	eV/atom
formation enthalpy at 0 K	-0.457	eV per atom

Lattice parameters (Å, degrees): 12.5392 12.5392 6.6912 90.00 90.00 160.20
Fractional coordinates of all 20 atoms:
Np 0.0207 0.9793 0.5000
Np 0.3282 0.6718 0.4801
Np 0.6718 0.3282 0.9801
Np 0.9793 0.0207 0.0000
Ge 0.1005 0.8995 0.1415
Ge 0.2083 0.7917 0.6886
Ge 0.2090 0.7910 0.2652
Ge 0.3805 0.6195 0.0167
Ge 0.4516 0.5484 0.3327
Ge 0.5484 0.4516 0.8327
Ge 0.6195 0.3805 0.5167
Ge 0.7910 0.2090 0.7652
Ge 0.7917 0.2083 0.1886
Ge 0.8995 0.1005 0.6415
Rh 0.1056 0.8944 0.7573
Rh 0.2792 0.7208 0.9765
Rh 0.4454 0.5546 0.7206
Rh 0.5546 0.4454 0.2206
Rh 0.7208 0.2792 0.4765
Rh 0.8944 0.1056 0.2573

---

[4]
This record from Alexandria via LeMat-Bulk describes a relaxed CsLa2ZnCl crystal. The functional is PBE-GGA.

Results
SG	P4/mmm (123)
uncorrected formation energy	0.799	eV/atom

Lattice parameters (Å, degrees): 5.9916 5.9916 5.5230 90.00 90.00 90.00
Fractional coordinates of all 5 atoms:
Cs 0.0000 0.0000 0.0000
La 0.0000 0.5000 0.0000
La 0.5000 0.0000 0.0000
Zn 0.0000 0.0000 0.5000
Cl 0.5000 0.5000 0.5000

---

[5]
This record from Alexandria via LeMat-Bulk describes a relaxed MgTiZn2Os crystal. The functional is PBE-GGA.

Results
SG	P4/mmm (123)
formation enthalpy at 0 K	1.816	eV per atom

Lattice parameters (Å, degrees): 4.6997 4.6997 4.9806 90.00 90.00 90.00
Fractional coordinates of all 5 atoms:
Mg 0.0000 0.0000 0.0000
Ti 0.0000 0.0000 0.5000
Zn 0.0000 0.5000 0.5000
Zn 0.5000 0.0000 0.5000
Os 0.5000 0.5000 0.0000

---

[6]
This record from Alexandria via LeMat-Bulk describes a relaxed TbSm5Sc crystal. The functional is PBE-GGA.

Results
SG	C2/m (12)
polymorph energy (0 for the lowest one)	0.630	eV/atom
formation enthalpy at 0 K	0.873	eV per atom

Lattice parameters (Å, degrees): 7.2558 7.2558 5.8178 90.14 90.14 73.60
Fractional coordinates of all 7 atoms:
Tb 0.0000 0.0000 0.0000
Sm 0.1890 0.8110 0.5000
Sm 0.2519 0.2519 0.4988
Sm 0.5000 0.5000 0.0000
Sm 0.7481 0.7481 0.5012
Sm 0.8110 0.1890 0.5000
Sc 0.5000 0.5000 0.5000